1.
First-principles (PBE-GGA) data for an optimized crystal structure of KIn12Ga6, as listed in Alexandria via LeMat-Bulk. Values from VASP.

The structure in Quantum ESPRESSO input format:
```
&SYSTEM
  ibrav = 0, nat = 19, ntyp = 3
/
ATOMIC_SPECIES
In 114.82 In.upf
K 39.10 K.upf
Ga 69.72 Ga.upf
ATOMIC_POSITIONS crystal
In 0.5000 0.8887 0.1113
In 0.4164 0.4164 0.1779
In 0.1113 0.5000 0.8887
In 0.5000 0.1113 0.8887
In 0.8887 0.1113 0.5000
In 0.5836 0.8221 0.5836
In 0.4164 0.1779 0.4164
In 0.1779 0.4164 0.4164
In 0.1113 0.8887 0.5000
In 0.8887 0.5000 0.1113
In 0.8221 0.5836 0.5836
In 0.5836 0.5836 0.8221
K 0.0000 0.0000 0.0000
Ga 0.2811 0.7579 0.2811
Ga 0.2811 0.2811 0.7579
Ga 0.7189 0.7189 0.2421
Ga 0.7189 0.2421 0.7189
Ga 0.2421 0.7189 0.7189
Ga 0.7579 0.2811 0.2811
CELL_PARAMETERS angstrom
-4.9981 -0.4312 6.8890
-1.5399 -6.9323 -4.7115
8.0788 -0.4697 2.6716
```

Values from the calculation:
Calculated formation energy   0.36 eV per formula unit
DOS(E_F)   5.97 states/eV/cell
Density   5.99 g cm⁻³
Raw total energy   -51.8 eV per formula unit
Calculated volume   26.79 Å³/atom

---

2.
First-principles (PBE-GGA) data for an optimized crystal structure of LaTbIn2, as listed in Alexandria via LeMat-Bulk. Values from VASP.

The structure in Quantum ESPRESSO input format:
```
&SYSTEM
  ibrav = 0, nat = 4, ntyp = 3
/
ATOMIC_SPECIES
In 114.82 In.upf
La 138.91 La.upf
Tb 158.93 Tb.upf
ATOMIC_POSITIONS crystal
In 0.0000 0.5000 0.0000
In 0.0000 0.0000 0.5000
La 0.5000 0.0000 0.0000
Tb 0.5000 0.5000 0.5000
CELL_PARAMETERS angstrom
-0.7162 -1.7058 -4.1059
-2.1702 -4.0674 2.0683
-4.4918 2.3075 -0.1752
```

Values from the calculation:
Calculated formation energy   -1.87 eV per formula unit
DOS(E_F)   3.34 states/eV/cell
Density   7.62 g cm⁻³
Raw total energy   -16.9 eV per formula unit
Calculated volume   28.75 Å³/atom

---

3.
First-principles (PBE-GGA) data for an optimized crystal structure of ZrSc2Se, as listed in Alexandria via LeMat-Bulk. Values from VASP.

The structure in Quantum ESPRESSO input format:
```
&SYSTEM
  ibrav = 0, nat = 8, ntyp = 3
/
ATOMIC_SPECIES
Sc 44.96 Sc.upf
Zr 91.22 Zr.upf
Se 78.96 Se.upf
ATOMIC_POSITIONS crystal
Sc 0.3649 0.7293 0.5394
Sc 0.6351 0.2707 0.0394
Sc 0.6351 0.2707 0.4606
Sc 0.3649 0.7293 0.9606
Zr 0.0600 0.1201 0.7500
Zr 0.9400 0.8799 0.2500
Se 0.7682 0.5362 0.7500
Se 0.2318 0.4638 0.2500
CELL_PARAMETERS angstrom
3.5680 -0.0006 0.0000
-1.7850 5.3493 0.0000
0.0000 0.0000 8.7298
```

Values from the calculation:
DOS(E_F)   6.34 states/eV/cell
Density   5.18 g cm⁻³
Raw total energy   -27.8 eV per formula unit
Calculated volume   20.83 Å³/atom
Raw formation energy   -767 meV per atom